Entry from the Alexandria database: a relaxed structure of TbPrAu4 (PBE).

Space group: P4/mmm (123)
Calculated density, Mg/m³: 13.38
ΔH_f (0 K), eV per atom: -0.797
Uncorrected energy, eV/atom: -4.550

Lattice parameters (Å, degrees): 3.8220 3.8220 9.2413 90.00 90.00 90.00
With the nearest neighbours (Å) after each atom.
Sites, in units of the cell vectors:
Tb 0.5000 0.5000 0.5000  10 Au 3.02-3.08
Pr 0.0000 0.0000 0.0000  10 Au 3.14
Au 0.5000 0.5000 0.8269  1 Tb 3.02, 5 Au 3.11-3.20, 4 Pr 3.14
Au 0.5000 0.5000 0.1731  1 Tb 3.02, 5 Au 3.11-3.20, 4 Pr 3.14
Au 0.0000 0.0000 0.6600  5 Au 2.96-3.11, 4 Tb 3.08, 1 Pr 3.14
Au 0.0000 0.0000 0.3400  5 Au 2.96-3.11, 4 Tb 3.08, 1 Pr 3.14

Entry from the Alexandria database: a relaxed structure of Tb2PrAu3 (PBE).

Space group: P4/mmm (123)
Calculated density, Mg/m³: 11.89
ΔH_f (0 K), eV per atom: -0.820
Uncorrected energy, eV/atom: -4.799

Lattice parameters (Å, degrees): 3.6325 3.6325 11.1111 90.00 90.00 90.00
With the nearest neighbours (Å) after each atom.
Sites, in units of the cell vectors:
Tb 0.5000 0.5000 0.8371  8 Au 3.09-3.14
Tb 0.5000 0.5000 0.1629  8 Au 3.09-3.14
Pr 0.5000 0.5000 0.5000  8 Au 3.28, 4 Pr 3.63
Au 0.0000 0.0000 0.0000  8 Tb 3.14
Au 0.0000 0.0000 0.6829  4 Tb 3.09, 4 Pr 3.28
Au 0.0000 0.0000 0.3171  4 Tb 3.09, 4 Pr 3.28

Entry from the Alexandria database: a relaxed structure of Tb3Pr12Au5 (PBE).

Space group: Ia-3d (230)
Calculated density, Mg/m³: 6.74
ΔH_f (0 K), eV per atom: 0.141
Uncorrected energy, eV/atom: -4.240

Lattice parameters (Å, degrees): 15.9195 15.9195 15.9195 109.47 109.47 109.47
With the nearest neighbours (Å) after each atom.
Sites, in units of the cell vectors:
Tb 0.7500 0.3750 0.1250  8 Pr 3.40-3.62
Tb 0.8750 0.7500 0.1250  8 Pr 3.40-3.62
Tb 0.3750 0.7500 0.6250  8 Pr 3.40-3.62
Tb 0.2500 0.1250 0.3750  8 Pr 3.40-3.62
Tb 0.8750 0.1250 0.2500  8 Pr 3.40-3.62
Tb 0.3750 0.6250 0.2500  8 Pr 3.40-3.62
Tb 0.6250 0.3750 0.7500  8 Pr 3.40-3.62
Tb 0.1250 0.8750 0.7500  8 Pr 3.40-3.62
Tb 0.7500 0.8750 0.6250  8 Pr 3.40-3.62
Tb 0.6250 0.2500 0.3750  8 Pr 3.40-3.62
Tb 0.1250 0.2500 0.8750  8 Pr 3.40-3.62
Tb 0.2500 0.6250 0.8750  8 Pr 3.40-3.62
Au 0.1250 0.3750 0.2500  4 Pr 2.91
Au 0.0000 0.5000 0.0000  6 Pr 2.99
Au 0.0000 0.0000 0.0000  6 Pr 2.99
Au 0.3750 0.2500 0.1250  4 Pr 2.91
Au 0.5000 0.0000 0.5000  6 Pr 2.99
Au 0.5000 0.5000 0.0000  6 Pr 2.99
Au 0.1250 0.7500 0.3750  4 Pr 2.91
Au 0.7500 0.1250 0.8750  4 Pr 2.91
Au 0.7500 0.6250 0.3750  4 Pr 2.91
Au 0.3750 0.1250 0.7500  4 Pr 2.91
Au 0.6250 0.8750 0.2500  4 Pr 2.91
Au 0.5000 0.5000 0.5000  6 Pr 2.99
Au 0.5000 0.0000 0.0000  6 Pr 2.99
Au 0.0000 0.0000 0.5000  6 Pr 2.99
Au 0.2500 0.3750 0.6250  4 Pr 2.91
Au 0.2500 0.8750 0.1250  4 Pr 2.91
Au 0.0000 0.5000 0.5000  6 Pr 2.99
Au 0.8750 0.2500 0.6250  4 Pr 2.91
Au 0.6250 0.7500 0.8750  4 Pr 2.91
Au 0.8750 0.6250 0.7500  4 Pr 2.91
Pr 0.7135 0.1184 0.0409  2 Au 2.91-2.99
Pr 0.3274 0.5409 0.4225  2 Au 2.91-2.99
Pr 0.9591 0.3816 0.2865  2 Au 2.91-2.99
Pr 0.5409 0.2135 0.1184  2 Au 2.91-2.99
Pr 0.5951 0.7135 0.6726  2 Au 2.91-2.99
Pr 0.9591 0.5775 0.1726  2 Au 2.91-2.99
Pr 0.3274 0.7865 0.4049  2 Au 2.91-2.99
Pr 0.0775 0.9049 0.1184  2 Au 2.91-2.99
Pr 0.5775 0.9591 0.6726  2 Au 2.91-2.99
Pr 0.7135 0.5951 0.1726  2 Au 2.91-2.99
Pr 0.7865 0.4591 0.3816  2 Au 2.91-2.99
Pr 0.8274 0.9225 0.0409  2 Au 2.91-2.99
Pr 0.1184 0.7135 0.5409  2 Au 2.91-2.99
Pr 0.3816 0.4225 0.0951  2 Au 2.91-2.99
Pr 0.0951 0.9225 0.3816  2 Au 2.91-2.99
Pr 0.4049 0.1184 0.5775  2 Au 2.91-2.99
Pr 0.0951 0.1726 0.2135  2 Au 2.91-2.99
Pr 0.4591 0.6726 0.0775  2 Au 2.91-2.99
Pr 0.8274 0.9049 0.2865  2 Au 2.91-2.99
Pr 0.1184 0.4049 0.0775  2 Au 2.91-2.99
Pr 0.3816 0.9591 0.7865  2 Au 2.91-2.99
Pr 0.5775 0.6184 0.4049  2 Au 2.91-2.99
Pr 0.9225 0.8274 0.5409  2 Au 2.91-2.99
Pr 0.7865 0.3274 0.9049  2 Au 2.91-2.99
Pr 0.4225 0.3816 0.5951  2 Au 2.91-2.99
Pr 0.0775 0.1726 0.4591  2 Au 2.91-2.99
Pr 0.2135 0.6726 0.0951  2 Au 2.91-2.99
Pr 0.1726 0.0951 0.7135  2 Au 2.91-2.99
Pr 0.6184 0.0409 0.2135  2 Au 2.91-2.99
Pr 0.8816 0.5951 0.9225  2 Au 2.91-2.99
Pr 0.5409 0.3274 0.9225  2 Au 2.91-2.99
Pr 0.5951 0.8816 0.4225  2 Au 2.91-2.99
Pr 0.9049 0.8274 0.7865  2 Au 2.91-2.99
Pr 0.9049 0.0775 0.6184  2 Au 2.91-2.99
Pr 0.8816 0.2865 0.4591  2 Au 2.91-2.99
Pr 0.1726 0.0775 0.9591  2 Au 2.91-2.99
Pr 0.6184 0.5775 0.9049  2 Au 2.91-2.99
Pr 0.4225 0.0409 0.3274  2 Au 2.91-2.99
Pr 0.2865 0.4049 0.8274  2 Au 2.91-2.99
Pr 0.2135 0.5409 0.6184  2 Au 2.91-2.99
Pr 0.9225 0.0951 0.8816  2 Au 2.91-2.99
Pr 0.6726 0.2135 0.5951  2 Au 2.91-2.99
Pr 0.4591 0.7865 0.8816  2 Au 2.91-2.99
Pr 0.0409 0.4225 0.8274  2 Au 2.91-2.99
Pr 0.4049 0.2865 0.3274  2 Au 2.91-2.99
Pr 0.0409 0.6184 0.7135  2 Au 2.91-2.99
Pr 0.6726 0.4591 0.5775  2 Au 2.91-2.99
Pr 0.2865 0.8816 0.9591  2 Au 2.91-2.99

Entry from the Alexandria database: a relaxed structure of TbPrAu2 (PBE).

Space group: Fm-3m (225)
Calculated density, Mg/m³: 11.51
ΔH_f (0 K), eV per atom: -0.780
E above lowest polymorph, meV/atom: 39.4
Uncorrected energy, eV/atom: -4.771

Lattice parameters (Å, degrees): 5.2110 5.2110 5.2110 60.00 60.00 60.00
With the nearest neighbours (Å) after each atom.
Sites, in units of the cell vectors:
Pr 0.0000 0.0000 0.0000  8 Au 3.19
Tb 0.5000 0.5000 0.5000  8 Au 3.19
Au 0.2500 0.2500 0.2500  4 Tb 3.19, 4 Pr 3.19
Au 0.7500 0.7500 0.7500  4 Tb 3.19, 4 Pr 3.19

ΔH_f (0 K) of number 1 (TbPrAu4)? -0.797 eV per atom

Which value of uncorrected energy does entry 3 give? -4.240 eV/atom

calculated density of number 3 (Tb3Pr12Au5)? 6.74 Mg/m³